No. 1
Crystalline Ti3ReW at its relaxed geometry. Source: Alexandria, functional PBEsol.

Structure (extended XYZ):
```
5
Lattice="-2.1173 -4.0265 -0.4464 3.3573 -1.4621 -2.7360 2.2673 -1.5952 3.6346" Properties=species:S:1:pos:R:3 pbc="T T T"
Ti 1.6787 -0.7311 -1.3680
Ti 1.1336 -0.7976 1.8173
Ti -1.0587 -2.0132 -0.2232
Re 1.7536 -3.5419 0.2261
W 0.0000 0.0000 0.0000
```

**Total DFT energy (no corrections)**: -44.65 eV per cell

***

No. 2
Crystalline Rb3Y2B3O9 at its relaxed geometry. Source: Alexandria, functional PBEsol.

Structure (extended XYZ):
```
68
Lattice="-4.2946 -2.7430 -7.0316 -4.0780 -6.9051 5.1843 -9.1982 7.4640 2.7062" Properties=species:S:1:pos:R:3 pbc="T T T"
O -8.6613 -1.8379 1.0796
O -11.7458 3.8571 -0.9430
O -10.0036 -5.6472 0.2492
O -10.1728 4.2562 3.3029
O -3.1763 1.0926 1.0754
O -7.8994 2.1249 3.7455
O -6.7213 -2.3537 2.3221
O -11.6106 0.2247 2.0796
O -8.7800 2.8982 -1.3806
O -6.3802 -2.0681 -1.0972
O -6.7001 0.4049 2.6097
O -3.6690 -5.1742 3.8587
O -13.2145 -1.1537 -0.3079
O -7.2862 -6.3032 1.7968
O -12.8920 2.8854 0.9510
O -4.5275 -0.8915 1.2171
O -8.0556 0.8437 -0.3708
O -14.4248 -0.0097 4.7759
O -15.2073 0.9299 -0.4750
O -8.1669 -5.5299 -3.3293
O -8.0006 -2.1890 -2.9154
O -14.1483 -1.5964 1.8327
O -4.9740 0.6713 -0.5174
O -7.4826 1.3445 -2.6412
O -5.9474 -1.0314 -3.2234
O -11.7946 -1.0138 4.1326
O -9.4225 6.4956 2.7859
O -10.3320 -4.0596 -1.5808
O -8.7590 -3.6605 2.6651
O -9.9968 -0.1787 -4.1488
O -12.5477 1.5476 -0.9636
O -11.1218 1.2639 4.2308
O -14.8145 -2.9359 -0.0930
O -9.2654 4.8411 1.1093
O -12.1308 -5.4481 -0.7554
O -5.6102 -6.1966 0.0808
Rb -7.6381 -4.3975 -0.5802
Rb -6.3108 3.4932 0.2655
Rb -8.0338 -8.2952 -0.3559
Rb -3.4197 -1.7668 -1.6014
Rb -4.1151 -3.9241 0.9079
Rb -11.2882 -2.7405 1.6179
Rb -10.2295 -0.8779 -0.9982
Rb -9.8023 2.1075 1.4007
Rb -11.0655 2.2332 -3.2392
Rb -6.0100 -3.8885 -4.5539
Rb -6.3750 -4.5231 4.0597
Rb -8.6979 -0.6188 4.5705
Y -9.2904 -5.7895 2.4397
Y -5.1646 -1.0678 3.4402
Y -13.5030 0.7068 1.0981
Y -12.4749 0.1831 6.0368
Y -9.7674 4.8120 -1.1433
Y -6.7740 -0.6949 0.5570
Y -13.8932 0.0904 -2.1439
Y -7.8021 -0.1712 -4.3817
B -14.0829 -1.9366 0.4706
B -7.3920 -6.6681 -3.2109
B -4.1888 0.3212 0.5944
B -8.0724 -2.6321 2.0397
B -10.8209 -5.0216 -0.7117
B -6.7700 -1.7850 -2.3698
B -11.5017 0.1696 3.4348
B -6.0361 -6.6367 1.3110
B -9.6425 5.1848 2.4216
B -8.1234 1.6845 -1.4558
B -6.7675 1.7159 3.0661
B -12.3910 2.7952 -0.3298
```

**Uncorrected formation energy**: -2.6895 eV per atom
**Total DFT energy (no corrections)**: -522.94 eV per cell

***

No. 3
Crystalline TaRh2Cl at its relaxed geometry. Source: Alexandria, functional PBEsol.

Structure (extended XYZ):
```
4
Lattice="4.4312 0.0000 0.0000 2.2156 3.8375 0.0000 2.2156 1.2792 3.6181" Properties=species:S:1:pos:R:3 pbc="T T T"
Cl 0.0000 0.0000 0.0000
Rh 6.6468 3.8375 2.7135
Rh 2.2156 1.2792 0.9045
Ta 4.4312 2.5583 1.8090
```

**Uncorrected formation energy**: 0.2896 eV per atom
**Total DFT energy (no corrections)**: -29.68 eV per cell

***

No. 4
Crystalline Tl2AgRu at its relaxed geometry. Source: Alexandria, functional PBEsol.

Structure (extended XYZ):
```
4
Lattice="3.0800 0.0000 0.0000 1.5400 2.6673 0.0000 1.5400 0.8891 9.7346" Properties=species:S:1:pos:R:3 pbc="T T T"
Ru 1.5400 0.8891 2.5180
Ag 3.0800 1.7782 4.6340
Tl 4.6200 2.6673 7.1216
Tl 4.6200 2.6673 0.3283
```

**ΔE to the lowest computed polymorph**: 72 kJ/mol of formula units
**Total DFT energy (no corrections)**: -16.45 eV per cell

***

No. 5
Crystalline Tm3Hg at its relaxed geometry. Source: Alexandria, functional PBEsol.

Structure (extended XYZ):
```
4
Lattice="-1.9560 -3.5615 -2.2537 3.3115 -2.8356 1.6070 -2.6071 -0.9297 3.7320" Properties=species:S:1:pos:R:3 pbc="T T T"
Tm 0.3522 -1.8827 2.6695
Tm 0.6778 -3.1985 -0.3234
Tm -2.2816 -2.2456 0.7391
Hg 0.0000 0.0000 0.0000
```

**Total DFT energy (no corrections)**: -16.12 eV per cell

***

No. 6
Crystalline InReBr2 at its relaxed geometry. Source: Alexandria, functional PBEsol.

Structure (extended XYZ):
```
4
Lattice="-1.4130 -0.0919 -3.1446 -3.2807 -0.9900 -0.3880 -4.1051 7.7036 -0.2717" Properties=species:S:1:pos:R:3 pbc="T T T"
Br -6.5074 4.6750 -2.8859
Br -4.8697 -0.5233 -3.4698
Re -2.1779 1.5862 -0.9588
In -4.3370 3.1127 -1.9244
```

**ΔE to the lowest computed polymorph**: 0 kJ/mol of formula units
**Uncorrected formation energy**: 0.2329 eV per atom
**Total DFT energy (no corrections)**: -19.12 eV per cell

***

No. 7
Crystalline MgCdAu2 at its relaxed geometry. Source: Alexandria, functional PBEsol.

Structure (extended XYZ):
```
4
Lattice="-2.6078 2.3782 -0.1253 -1.9560 -2.0328 2.1247 2.2359 2.6962 4.6379" Properties=species:S:1:pos:R:3 pbc="T T T"
Mg -0.5483 2.2632 4.5956
Au 2.1969 2.6491 4.5569
Au -1.7062 0.8669 2.1938
Cd 1.0836 1.3066 2.2477
```

**Total DFT energy (no corrections)**: -12.03 eV per cell

***

No. 8
Crystalline Li2RuSe at its relaxed geometry. Source: Alexandria, functional PBEsol.

Structure (extended XYZ):
```
4
Lattice="-0.5984 -2.0499 2.2945 2.1356 -3.1627 -2.2685 3.0565 3.0272 1.3606" Properties=species:S:1:pos:R:3 pbc="T T T"
Li 1.5060 -0.7147 1.8951
Li 2.4826 0.7980 3.5013
Se 2.7868 -1.1328 -0.2852
Ru 1.0450 -2.7648 -0.0565
```

**Uncorrected formation energy**: -0.2949 eV per atom
**Total DFT energy (no corrections)**: -19.14 eV per cell

***

No. 9
Crystalline OsRhW2 at its relaxed geometry. Source: Alexandria, functional PBEsol.

Structure (extended XYZ):
```
4
Lattice="2.7644 0.0000 0.0000 -1.3822 4.5345 0.0054 0.0000 -0.8036 4.6999" Properties=species:S:1:pos:R:3 pbc="T T T"
W 0.0000 1.6388 3.4350
W 0.0000 0.0284 0.0965
Rh 1.3822 2.0933 1.1138
Os 0.0000 4.1032 2.4154
```

**ΔE to the lowest computed polymorph**: 39 kJ/mol of formula units
**Total DFT energy (no corrections)**: -47.86 eV per cell

***

No. 10
Crystalline HfBeTe at its relaxed geometry. Source: Alexandria, functional PBEsol.

Structure (extended XYZ):
```
6
Lattice="3.6553 0.0000 0.0000 0.0000 3.6390 0.0000 0.0000 1.8195 8.7182" Properties=species:S:1:pos:R:3 pbc="T T T"
Te 0.9138 1.8195 2.8799
Te 2.7414 3.6390 5.8383
Be 0.9138 1.8195 0.4986
Be 2.7414 3.6390 8.2197
Hf 2.7414 3.6390 1.3474
Hf 0.9138 1.8195 7.3708
```

**Uncorrected formation energy**: -0.5938 eV per atom
**Total DFT energy (no corrections)**: -39.62 eV per cell

***

No. 11
Crystalline HoTmMg2 at its relaxed geometry. Source: Alexandria, functional PBEsol.

Structure (extended XYZ):
```
4
Lattice="-4.0305 -3.2486 0.8916 -0.2850 -2.6512 4.5258 -3.6531 1.2618 3.5575" Properties=species:S:1:pos:R:3 pbc="T T T"
Mg -5.9764 -3.4786 6.7312
Mg -1.9921 -1.1595 2.2437
Ho -3.9843 -2.3190 4.4875
Tm 0.0000 0.0000 0.0000
```

**Total DFT energy (no corrections)**: -13.49 eV per cell

***

No. 12
Crystalline Zr4CdAs at its relaxed geometry. Source: Alexandria, functional PBEsol.

Structure (extended XYZ):
```
6
Lattice="5.6418 0.0000 0.0000 2.8209 4.8860 0.0000 2.8209 1.6287 4.6065" Properties=species:S:1:pos:R:3 pbc="T T T"
As 8.4628 4.8860 3.4549
Zr 7.0620 2.4374 1.7235
Zr 5.6418 3.2573 4.0425
Zr 5.6418 4.8971 1.7235
Zr 4.2217 2.4374 1.7235
Cd 0.0000 0.0000 0.0000
```

**Total DFT energy (no corrections)**: -41.17 eV per cell

***

No. 13
Crystalline CaAg2As at its relaxed geometry. Source: Alexandria, functional PBEsol.

Structure (extended XYZ):
```
4
Lattice="4.7657 0.0000 0.0000 -2.3828 4.1723 -0.0768 0.0000 -2.6714 3.9706" Properties=species:S:1:pos:R:3 pbc="T T T"
Ag 2.3828 1.4243 0.9583
Ag 0.0000 0.0043 0.0029
As 0.0000 2.8291 1.9035
Ca 0.0000 0.0798 2.9377
```

**Total DFT energy (no corrections)**: -15.09 eV per cell

***

No. 14
Crystalline SrLa3Rh at its relaxed geometry. Source: Alexandria, functional PBEsol.

Structure (extended XYZ):
```
5
Lattice="-4.4814 3.0101 0.7639 -1.4963 -3.2681 4.0997 2.7213 3.1600 3.5123" Properties=species:S:1:pos:R:3 pbc="T T T"
Rh -1.6282 1.4510 4.1880
La 1.3607 1.5800 1.7561
La -2.2407 1.5051 0.3820
La -0.7482 -1.6341 2.0499
Sr 0.0000 0.0000 0.0000
```

**ΔE to the lowest computed polymorph**: 768 kJ/mol of formula units
**Total DFT energy (no corrections)**: -19.05 eV per cell

***

No. 15
Crystalline BePtCl2 at its relaxed geometry. Source: Alexandria, functional PBEsol.

Structure (extended XYZ):
```
4
Lattice="-1.2254 1.6899 2.4499 -4.2387 -0.0606 -2.0783 -0.3546 -4.3534 2.8256" Properties=species:S:1:pos:R:3 pbc="T T T"
Cl -2.3814 -0.7834 1.4635
Cl -3.6103 -3.9826 0.9414
Pt -0.5651 -2.6527 1.5472
Be -4.0325 -1.8960 1.4051
```

**ΔE to the lowest computed polymorph**: 0 kJ/mol of formula units
**Uncorrected formation energy**: -0.3913 eV per atom
**Total DFT energy (no corrections)**: -16.54 eV per cell

***

No. 16
Crystalline CaMoIr2 at its relaxed geometry. Source: Alexandria, functional PBEsol.

Structure (extended XYZ):
```
4
Lattice="3.8976 0.0000 0.0000 0.0000 3.8976 0.0000 -1.9488 -1.9488 4.2630" Properties=species:S:1:pos:R:3 pbc="T T T"
Ir 1.9488 0.0000 2.1315
Ir 0.0000 0.0000 0.0000
Ca 0.0000 1.9488 2.1315
Mo 1.9488 1.9488 0.0000
```

**ΔE to the lowest computed polymorph**: 73 kJ/mol of formula units
**Total DFT energy (no corrections)**: -32.35 eV per cell

***

No. 17
Crystalline CrSb2TeO at its relaxed geometry. Source: Alexandria, functional PBEsol.

Structure (extended XYZ):
```
5
Lattice="-3.1450 -3.2565 0.9083 0.7979 -1.9204 -4.1227 3.4651 -2.7961 1.9731" Properties=species:S:1:pos:R:3 pbc="T T T"
Sb 0.3989 -0.9602 -2.0613
Sb -1.5725 -1.6283 0.4541
Te 1.7325 -1.3981 0.9865
Cr 0.5590 -3.9865 -0.6207
O 0.0000 0.0000 0.0000
```

**Uncorrected formation energy**: 0.2132 eV per atom
**Total DFT energy (no corrections)**: -27.07 eV per cell

***

No. 18
Crystalline AlInOs2 at its relaxed geometry. Source: Alexandria, functional PBEsol.

Structure (extended XYZ):
```
4
Lattice="4.4366 0.0000 0.0000 2.2183 3.8422 0.0000 2.2183 1.2807 3.6224" Properties=species:S:1:pos:R:3 pbc="T T T"
In 2.2183 1.2807 0.9056
Al 4.4366 2.5614 1.8112
Os 6.6548 3.8422 2.7168
Os 0.0000 0.0000 0.0000
```

**ΔE to the lowest computed polymorph**: 154 kJ/mol of formula units
**Total DFT energy (no corrections)**: -29.57 eV per cell

***

No. 19
Crystalline Sr4RuPt at its relaxed geometry. Source: Alexandria, functional PBEsol.

Structure (extended XYZ):
```
6
Lattice="-2.8104 -5.3770 0.9393 0.5419 -4.5098 -4.1305 3.3050 -5.0000 1.3301" Properties=species:S:1:pos:R:3 pbc="T T T"
Sr 2.0414 -8.0826 -0.0328
Sr -1.0167 -8.2711 -0.2282
Sr 0.3887 -5.5823 -0.6979
Sr 0.6596 -7.8375 -2.7633
Pt 0.7774 -11.1651 -1.3958
Ru 0.0000 0.0000 0.0000
```

**Total DFT energy (no corrections)**: -17.75 eV per cell

***

No. 20
Crystalline SiP2PtS at its relaxed geometry. Source: Alexandria, functional PBEsol.

Structure (extended XYZ):
```
5
Lattice="-2.1908 1.0298 3.8128 -3.2786 -2.9053 -1.0991 2.4128 -3.6168 2.3631" Properties=species:S:1:pos:R:3 pbc="T T T"
S 1.2064 -1.8084 1.1816
Si -1.5283 -2.7462 2.5384
Pt 0.0000 0.0000 0.0000
P -1.0954 0.5149 1.9064
P -1.6393 -1.4526 -0.5496
```

**Uncorrected formation energy**: 0.8588 eV per atom
**Total DFT energy (no corrections)**: -24.38 eV per cell

***

No. 21
Crystalline SrCrBr2 at its relaxed geometry. Source: Alexandria, functional PBEsol.

Structure (extended XYZ):
```
4
Lattice="5.3669 0.0000 0.0000 2.6834 4.6479 0.0000 2.6834 1.5493 4.3821" Properties=species:S:1:pos:R:3 pbc="T T T"
Sr 2.6834 1.5493 1.0955
Br 8.0503 4.6479 3.2865
Br 0.0000 0.0000 0.0000
Cr 5.3669 3.0986 2.1910
```

**ΔE to the lowest computed polymorph**: 50 kJ/mol of formula units
**Uncorrected formation energy**: -0.3201 eV per atom
**Total DFT energy (no corrections)**: -17.10 eV per cell

***

No. 22
Crystalline SrMoOF2 at its relaxed geometry. Source: Alexandria, functional PBEsol.

Structure (extended XYZ):
```
5
Lattice="-1.4703 3.0976 -1.8882 -3.9694 -1.3864 0.8165 -0.0226 2.2215 3.6619" Properties=species:S:1:pos:R:3 pbc="T T T"
Mo 0.0000 0.0000 0.0000
F -0.0113 1.1107 1.8310
F -1.9847 -0.6932 0.4082
O -0.7352 1.5488 -0.9441
Sr -2.7312 1.9664 1.2951
```

**Uncorrected formation energy**: -1.9661 eV per atom
**Total DFT energy (no corrections)**: -32.54 eV per cell

***

No. 23
Crystalline LiGd2Rh at its relaxed geometry. Source: Alexandria, functional PBEsol.

Structure (extended XYZ):
```
4
Lattice="-4.7331 -0.2976 -1.2559 -1.3373 -2.6313 -3.9187 -2.4344 -4.2180 0.5921" Properties=species:S:1:pos:R:3 pbc="T T T"
Gd -2.1262 -1.7867 -1.1456
Gd -6.3787 -5.3601 -3.4368
Rh 0.0000 0.0000 0.0000
Li -4.2524 -3.5734 -2.2912
```

**Total DFT energy (no corrections)**: -40.60 eV per cell

***

No. 24
Crystalline KCrPb at its relaxed geometry. Source: Alexandria, functional PBEsol.

Structure (extended XYZ):
```
3
Lattice="-3.5806 0.5647 0.9302 0.8609 -0.4867 3.6092 2.4746 6.1029 -1.7074" Properties=species:S:1:pos:R:3 pbc="T T T"
Cr 0.0918 0.5057 0.0463
Pb -1.0741 1.6133 2.4138
K 0.7372 4.0619 0.3719
```

**Total DFT energy (no corrections)**: -13.71 eV per cell

***

No. 25
Crystalline Ce3TiAlS7 at its relaxed geometry. Source: Alexandria, functional PBEsol.

Structure (extended XYZ):
```
24
Lattice="-3.6651 4.6800 -1.4444 2.0331 -1.2973 -9.3621 -7.4846 -4.6248 4.0071" Properties=species:S:1:pos:R:3 pbc="T T T"
S -1.3017 1.1701 -5.6208
S -9.5799 -0.1585 -1.8741
S -4.7523 2.2067 -6.3295
S -8.8179 -0.9130 1.5218
S -7.3827 2.0990 -0.1352
S -4.0183 1.9759 -1.2964
S -6.8676 1.4232 -3.6317
S -7.6945 -1.9123 -4.5662
S -3.4990 -1.0873 -7.3597
S -0.9875 0.1152 -2.0618
S -4.0141 -0.4116 -3.8632
S -6.0923 -1.2424 -1.1508
S 0.1359 -0.8840 -8.1499
S -4.6637 -3.7730 -5.3317
Ti -3.4432 4.3966 -1.3569
Ti -1.6106 2.0566 -0.6347
Al -7.4239 0.4579 -1.6756
Al -2.4187 -0.7729 -5.4098
Ce -6.5505 -2.5703 1.2545
Ce -5.9113 -0.2998 -5.9648
Ce -6.0086 -3.4227 -2.8824
Ce -2.7252 1.5313 -8.1166
Ce -3.2670 2.3838 -3.9796
Ce -3.3644 -0.7392 -0.8972
```

**Uncorrected formation energy**: -1.7330 eV per atom
**Total DFT energy (no corrections)**: -167.37 eV per cell